#one
# NiSbTe2Pd

A geometry-optimized NiSbTe2Pd structure (PBE, the Alexandria database).

For the volume, the calculation gives 144 Å³ per cell.

The structure belongs to space group P4/mmm (No. 123); the cell edges are 5.340, 5.340 and 5.059 Å and the angles 90.00°, 90.00° and 90.00°. Symmetry generates all atoms from Ni at (0.000, 0.000, 0.000), Sb at (0.500, 0.500, 0.000), Te at (0.000, 0.500, 0.500) and Pd at (0.500, 0.500, 0.500).

***

#two
# NiSbTe2Pd

A geometry-optimized NiSbTe2Pd structure (PBE, the Alexandria database).

For the volume, the calculation gives 125 Å³ per cell.

The structure belongs to space group P4/mmm (No. 123); the cell edges are 5.100, 5.100 and 4.797 Å and the angles 90.00°, 90.00° and 90.00°. Symmetry generates all atoms from Ni at (0.000, 0.000, 0.000), Sb at (0.000, 0.000, 0.500), Te at (0.000, 0.500, 0.000) and Pd at (0.500, 0.500, 0.500).

***

Which one is the least stable? From the structures above, #one.